Entry 1:
Density functional theory data (PBE) for a relaxed TlMoCl2 crystal.

Output
- Volume: 114.0 Å³ per cell
- Formation energy (no corrections): 13 kJ/mol of formula units
- Energy: -4.19 eV per atom
- Total magnetic moment: 0.978 μB per atom

Lattice parameters (Å, degrees): 5.1040 4.3422 6.7342 49.79 90.00 90.00
Closest atoms and distances in Å follow each position.
Positions (direct):
Tl (0.5000, 0.5060, 0.8691)  8 Cl 3.35-3.38
Mo (0.0000, 0.4957, 0.3790)  4 Cl 2.55-2.57
Cl (0.0000, 0.9965, 0.8788)  2 Mo 2.57
Cl (0.5000, 0.5018, 0.3731)  2 Mo 2.55



Entry 2:
Density functional theory data (PBE) for a relaxed Tl2MoCl crystal.

Output
- Volume: 91.4 Å³ per cell
- Formation energy (no corrections): 163 kJ/mol of formula units
- Energy: -3.93 eV per atom
- Total magnetic moment: 0.415 μB per atom

Lattice parameters (Å, degrees): 9.2248 9.2248 9.2248 21.38 21.38 21.38
Closest atoms and distances in Å follow each position.
Positions (direct):
Tl (0.0035, 0.0035, 0.0035)  3 Mo 2.93, 3 Cl 3.07
Tl (0.4965, 0.4965, 0.4965)  3 Mo 2.93, 3 Cl 3.07
Cl (0.2500, 0.2500, 0.2500)  6 Tl 3.07, 6 Cl 3.42
Mo (0.7500, 0.7500, 0.7500)  6 Tl 2.93



Entry 3:
Density functional theory data (PBE) for a relaxed TlMoCl2 crystal.

Output
- Volume: 107.3 Å³ per cell
- Formation energy (no corrections): 38 kJ/mol of formula units
- Energy: -4.12 eV per atom
- Total magnetic moment: 1.052 μB per atom

Lattice parameters (Å, degrees): 3.7534 3.7504 7.6256 90.00 90.00 90.00
Closest atoms and distances in Å follow each position.
Positions (direct):
Mo (0.0000, 0.0000, 0.3954)  5 Cl 2.53-2.65
Tl (0.5000, 0.5000, 0.9774)  5 Cl 3.23-3.27
Cl (0.0000, 0.0000, 0.7266)  1 Mo 2.53
Cl (0.5000, 0.5000, 0.4005)  4 Mo 2.65



Entry 4:
Density functional theory data (PBE) for a relaxed TlMo2Cl crystal.

Output
- Volume: 77.0 Å³ per cell
- Formation energy (no corrections): 335 kJ/mol of formula units
- Energy: -5.60 eV per atom
- Total magnetic moment: 0.000 μB per atom

Lattice parameters (Å, degrees): 4.5408 5.9021 3.2635 73.88 90.18 112.68
Closest atoms and distances in Å follow each position.
Positions (direct):
Mo (0.0000, 0.0000, 0.0000)  4 Mo 2.79-2.80, 2 Tl 2.95, 2 Cl 2.95
Mo (0.5000, 0.0000, 0.5000)  4 Mo 2.79-2.80, 2 Cl 2.95, 2 Tl 2.95
Tl (0.0000, 0.5000, 0.5000)  4 Cl 2.79-2.80, 4 Mo 2.95
Cl (0.5000, 0.5000, 0.0000)  4 Tl 2.79-2.80, 4 Mo 2.95